[1]
GGA-PBE ScCoOs2, relaxed; calculated formation energy = 94 meV/atom; space group = P2/m, No. 10; DFT total energy = -8.88 eV per atom; V = 14.86 Å³ per atom
1.0
2.788 0.000 0.000
0.000 4.451 0.000
-0.691 0.000 4.790
Sc Co Os
1 1 2
direct
0.000 0.000 0.000
0.500 0.000 0.500
0.308 0.500 0.733
0.692 0.500 0.267

=====

[2]
GGA-PBE Sr2GaTe2, relaxed; space group = I4/mmm, No. 139; DFT total energy = -3.25 eV per atom; V = 46.64 Å³ per atom
1.0
-2.858 2.858 7.136
2.858 -2.858 7.136
2.858 2.858 -7.136
Sr Ga Te
2 1 2
direct
0.250 0.750 0.500
0.750 0.250 0.500
0.000 0.000 0.000
0.359 0.359 0.000
0.641 0.641 0.000

=====

[3]
GGA-PBE ZnHg2Pd9, relaxed; calculated formation energy = -160 meV/atom; space group = P4/mmm, No. 123; DFT total energy = -4.21 eV per atom; V = 16.09 Å³ per atom
1.0
4.019 0.000 0.000
0.000 4.019 0.000
0.000 0.000 11.952
Zn Hg Pd
1 2 9
direct
0.000 0.000 0.000
0.000 0.000 0.329
0.000 0.000 0.671
0.000 0.500 0.156
0.000 0.500 0.500
0.000 0.500 0.844
0.500 0.000 0.156
0.500 0.000 0.500
0.500 0.000 0.844
0.500 0.500 0.000
0.500 0.500 0.327
0.500 0.500 0.673